Computed, not measured: a relaxed CsTePdAu crystal at the PBE level of DFT.

a = 5.3746 Å, b = 5.3746 Å, c = 5.3746 Å
α = 60.00°, β = 60.00°, γ = 60.00°
Last column: nearest neighbours and their distance in Å.
Fractional positions:
Au 0.7500 0.7500 0.7500  4 Pd 3.29, 4 Te 3.29
Cs 0.2500 0.2500 0.2500  4 Pd 3.29, 4 Te 3.29
Pd 0.5000 0.5000 0.5000  4 Cs 3.29, 4 Au 3.29
Te 0.0000 0.0000 0.0000  4 Cs 3.29, 4 Au 3.29

Computed properties:
The energy comes out at -2.776 eV/atom.